No. 1
## AgSn4Se6 (PBE-GGA)

Data for a relaxed AgSn4Se6 crystal.

Values from the calculation:
Energy relative to the elements, uncorrected = -0.28 eV per atom
Theoretical density = 5.8 g cm⁻³
Uncorrected energy = -3.89 eV/atom

a = 6.083 Å, b = 6.082 Å, c = 11.928 Å
α = 121.60°, β = 121.57°, γ = 87.66°
Element x y z (fractional)
Ag: 0.042 0.042 0.975
Se: 0.112 0.607 0.628
Se: 0.606 0.112 0.628
Se: 0.483 0.957 0.980
Se: 0.957 0.483 0.980
Se: 0.311 0.311 0.317
Se: 0.767 0.767 0.279
Sn: 0.346 0.840 0.309
Sn: 0.594 0.594 0.663
Sn: 0.840 0.346 0.309
Sn: 0.442 0.442 0.932

***

No. 2
## KMgSe (PBE-GGA)

Data for a relaxed KMgSe crystal.

Values from the calculation:
Energy relative to the elements, uncorrected = -0.85 eV per atom
Theoretical density = 2.5 g cm⁻³
Uncorrected energy = -2.91 eV/atom

a = 6.640 Å, b = 4.136 Å, c = 14.388 Å
α = 90.00°, β = 108.40°, γ = 90.00°
Element x y z (fractional)
K: 0.364 0.500 0.943
K: 0.805 0.000 0.814
K: 0.805 0.500 0.314
K: 0.364 0.000 0.443
Mg: 0.309 0.000 0.148
Mg: 0.927 0.000 0.584
Mg: 0.309 0.500 0.648
Mg: 0.927 0.500 0.084
Se: 0.676 0.000 0.113
Se: 0.676 0.500 0.613
Se: 0.269 0.000 0.756
Se: 0.269 0.500 0.256

***

No. 3
## CeDy2Ge2Rh5 (PBE-GGA)

Data for a relaxed CeDy2Ge2Rh5 crystal.

Values from the calculation:
Formation energy = -0.844 eV per atom
Theoretical density = 10.2 g cm⁻³
Uncorrected energy = -6.96 eV/atom

a = 3.739 Å, b = 9.875 Å, c = 9.875 Å
α = 90.00°, β = 90.00°, γ = 90.00°
Element x y z (fractional)
Ge: 0.000 0.126 0.626
Ge: 0.000 0.874 0.374
Ge: 0.000 0.626 0.874
Ge: 0.000 0.374 0.126
Dy: 0.000 0.670 0.170
Dy: 0.000 0.170 0.330
Dy: 0.000 0.830 0.670
Dy: 0.000 0.330 0.830
Rh: 0.500 0.931 0.212
Rh: 0.500 0.000 0.500
Rh: 0.500 0.069 0.788
Rh: 0.500 0.500 0.000
Rh: 0.500 0.788 0.931
Rh: 0.500 0.212 0.069
Rh: 0.500 0.431 0.288
Rh: 0.500 0.288 0.569
Rh: 0.500 0.712 0.431
Rh: 0.500 0.569 0.712
Ce: 0.000 0.000 0.000
Ce: 0.000 0.500 0.500

***

No. 4
## CaLa3Ru (PBE-GGA)

Data for a relaxed CaLa3Ru crystal.

Values from the calculation:
Formation energy = -0.169 eV per atom
Theoretical density = 5.2 g cm⁻³
Uncorrected energy = -5.38 eV/atom

a = 7.905 Å, b = 7.601 Å, c = 6.848 Å
α = 63.80°, β = 91.16°, γ = 105.60°
Element x y z (fractional)
La: 0.287 0.594 0.621
La: 0.025 0.591 0.125
La: 0.167 0.093 0.542
La: 0.551 0.602 0.117
La: 0.419 0.090 0.048
La: 0.923 0.097 0.043
Ca: 0.788 0.595 0.627
Ca: 0.667 0.090 0.548
Ru: 0.223 0.351 0.082
Ru: 0.340 0.826 0.853

***

No. 5
## Mg5Zr (PBE-GGA)

Data for a relaxed Mg5Zr crystal.

Values from the calculation:
Formation energy = 0.186 eV per atom
Theoretical density = 2.6 g cm⁻³
Uncorrected energy = -2.57 eV/atom

a = 5.784 Å, b = 5.784 Å, c = 5.784 Å
α = 60.00°, β = 60.00°, γ = 60.00°
Element x y z (fractional)
Zr: 0.000 0.000 0.000
Mg: 0.750 0.750 0.750
Mg: 0.374 0.374 0.374
Mg: 0.878 0.374 0.374
Mg: 0.374 0.374 0.878
Mg: 0.374 0.878 0.374

***

No. 6
## TbTlGa (PBE-GGA)

Data for a relaxed TbTlGa crystal.

Values from the calculation:
Formation energy = -0.350 eV per atom
Theoretical density = 9.8 g cm⁻³
Uncorrected energy = -3.69 eV/atom

a = 3.966 Å, b = 4.627 Å, c = 4.627 Å
α = 120.00°, β = 90.00°, γ = 90.00°
Element x y z (fractional)
Tl: 0.265 0.333 0.667
Ga: 0.048 0.000 0.000
Tb: 0.687 0.667 0.333

***

No. 7
## Cs2MgSi (PBE-GGA)

Data for a relaxed Cs2MgSi crystal.

Values from the calculation:
Energy relative to the elements, uncorrected = 0.57 eV per atom
Theoretical density = 2.8 g cm⁻³
Uncorrected energy = -1.61 eV/atom

a = 6.456 Å, b = 6.456 Å, c = 6.456 Å
α = 60.00°, β = 60.00°, γ = 60.00°
Element x y z (fractional)
Si: 0.500 0.500 0.500
Cs: 0.750 0.750 0.750
Cs: 0.250 0.250 0.250
Mg: 0.000 0.000 0.000

***

No. 8
## Pr2SmY2Mg (PBE-GGA)

Data for a relaxed Pr2SmY2Mg crystal.

Values from the calculation:
Formation energy = 0.175 eV per atom
Theoretical density = 5.3 g cm⁻³
Uncorrected energy = -4.63 eV/atom

a = 6.909 Å, b = 6.450 Å, c = 10.078 Å
α = 108.66°, β = 110.05°, γ = 90.00°
Element x y z (fractional)
Mg: 0.500 0.250 0.000
Mg: 0.500 0.750 0.000
Y: 0.195 0.348 0.697
Y: 0.805 0.652 0.303
Y: 0.502 0.848 0.697
Y: 0.498 0.152 0.303
Pr: 0.989 0.152 0.304
Pr: 0.685 0.348 0.696
Pr: 0.315 0.652 0.304
Pr: 0.011 0.848 0.696
Sm: 0.000 0.750 0.000
Sm: 0.000 0.250 0.000